(one)
Material: CsCdHg2Sb
Method: DFT, PBE
State: relaxed

Lattice parameters (Å, degrees): 7.275 7.275 7.275 139.13 137.98 60.05
Atoms (fractional coordinates):
Cs 0.000 0.000 0.000
Cd 0.252 0.752 0.500
Hg 0.616 0.616 0.000
Hg 0.745 0.245 0.500
Sb 0.378 0.378 0.000

As for the space group: Imm2. The value obtained for the total moment is 0.0 Bohr magnetons per cell.


(two)
Material: CsCdHg2Sb
Method: DFT, PBE
State: relaxed

Lattice parameters (Å, degrees): 5.896 5.896 5.925 90.00 90.00 90.00
Atoms (fractional coordinates):
Cs 0.000 0.000 0.000
Cd 0.500 0.500 0.000
Hg 0.000 0.500 0.500
Hg 0.500 0.000 0.500
Sb 0.500 0.500 0.500

As for the space group: P4/mmm. The value obtained for the total moment is 0.0 Bohr magnetons per cell.


(three)
Material: CsCdHg2Sb
Method: DFT, PBE
State: relaxed

Lattice parameters (Å, degrees): 5.843 5.843 7.468 90.00 90.00 90.00
Atoms (fractional coordinates):
Cs 0.000 0.000 0.000
Cd 0.500 0.500 0.000
Hg 0.000 0.500 0.500
Hg 0.500 0.000 0.500
Sb 0.000 0.000 0.500

As for the space group: P4/mmm. The value obtained for the total moment is 0.0 Bohr magnetons per cell.


What is the least stable structure shown above? It is (three).